Sr2CoMoO6: relaxed, GGA+U.

Lattice parameters (Å, degrees): 5.632 5.632 5.632 119.71 119.71 90.50
Atoms (fractional coordinates):
Sr 0.250 0.750 0.500
Sr 0.750 0.250 0.500
Co 0.000 0.000 0.000
Mo 0.500 0.500 0.000
O 0.222 0.704 0.926
O 0.253 0.253 0.000
O 0.296 0.222 0.518
O 0.704 0.778 0.482
O 0.747 0.747 0.000
O 0.778 0.296 0.074

* size of the total moment: 3.00 Bohr magnetons per cell
* offset from the most stable computed form: 52.5 meV per atom
* SG: No. 87
* final energy: -6.63 eV per atom